Record 1
Below is a relaxed Na2PaAsO6 crystal, with properties calculated at the PBE-GGA level.

Values from the calculation:
V: 137.6 Å³/f.u.
D(E_F): 0.0 states/eV per cell
E_form (uncorrected): -2.193 eV per atom
Crystal system: tetragonal

Unit cell a=4.4480 b=5.5617 c=5.5617 alpha=90.00 beta=90.00 gamma=90.00
Positions (direct):
O1 0.2008 0.0000 0.0000
O2 0.6788 0.2281 0.7719
O3 0.1561 0.5000 0.5000
O4 0.6788 0.2281 0.2281
Na1 0.0742 0.5000 0.0000
O5 0.6788 0.7719 0.2281
Pa1 0.6445 0.5000 0.5000
Na2 0.0742 0.0000 0.5000
As1 0.5816 0.0000 0.0000
O6 0.6788 0.7719 0.7719

Record 2
Below is a relaxed Na3GaI4 crystal, with properties calculated at the PBE-GGA level.

Values from the calculation:
V: 345.5 Å³/f.u.
D(E_F): 0.0 states/eV per cell
E_form (uncorrected): -0.994 eV per atom
Crystal system: orthorhombic

Unit cell a=6.5399 b=9.6043 c=11.0007 alpha=90.00 beta=90.00 gamma=90.00
Positions (direct):
Na1 0.5643 0.3336 0.2486
Na2 0.5648 0.8325 0.0000
Na3 0.0648 0.1675 0.5000
Na4 0.0643 0.6664 0.7486
I1 0.0643 0.3378 0.2554
I2 0.0643 0.3378 0.7446
Ga1 0.0641 0.1656 0.0000
I3 0.5643 0.6622 0.7554
I4 0.5646 0.1748 0.5000
I5 0.0644 0.8358 0.5000
Ga2 0.5641 0.8344 0.5000
Na5 0.5643 0.3336 0.7514
I6 0.5643 0.6622 0.2446
I7 0.0646 0.8252 0.0000
I8 0.5644 0.1642 0.0000
Na6 0.0643 0.6664 0.2514

Record 3
Below is a relaxed MnTlV4S8 crystal, with properties calculated at the PBE-GGA level.

Values from the calculation:
V: 238.6 Å³/f.u.
D(E_F): 7.9 states/eV per cell
E_form (uncorrected): -0.824 eV per atom
Crystal system: monoclinic

Unit cell a=8.9714 b=8.9714 c=8.4804 alpha=75.31 beta=75.31 gamma=21.21
Positions (direct):
S1 0.8395 0.8395 0.9981
S2 0.0831 0.0831 0.6755
V1 0.3487 0.3487 0.4986
V2 0.2890 0.2890 0.8585
Tl1 0.5000 0.5000 0.0000
S3 0.4266 0.4266 0.6752
Mn1 0.0000 0.0000 0.5000
S4 0.9169 0.9169 0.3245
S5 0.1605 0.1605 0.0019
S6 0.5734 0.5734 0.3248
S7 0.2426 0.2426 0.3367
V3 0.6513 0.6513 0.5014
S8 0.7574 0.7574 0.6633
V4 0.7110 0.7110 0.1415

Record 4
Below is a relaxed TaAg2As crystal, with properties calculated at the PBE-GGA level.

Values from the calculation:
V: 74.9 Å³/f.u.
D(E_F): 1.7 states/eV per cell
Raw total energy: -5.410 eV/atom
Crystal system: tetragonal

Unit cell a=2.8848 b=2.8848 c=8.9990 alpha=90.00 beta=90.00 gamma=90.00
Positions (direct):
As1 0.0000 0.0000 0.5320
Ag1 0.0000 0.0000 0.9902
Ag2 0.5000 0.5000 0.2282
Ta1 0.5000 0.5000 0.7496

Record 5
Below is a relaxed SiS2NO crystal, with properties calculated at the PBE-GGA level.

Values from the calculation:
V: 65.2 Å³/f.u.
D(E_F): 1.7 states/eV per cell
E_form (uncorrected): 1.492 eV per atom
Crystal system: tetragonal

Unit cell a=4.0974 b=4.0974 c=3.8862 alpha=90.00 beta=90.00 gamma=90.00
Positions (direct):
N1 0.0000 0.0000 0.5000
S1 0.0000 0.5000 0.0000
Si1 0.5000 0.5000 0.5000
O1 0.0000 0.0000 0.0000
S2 0.5000 0.0000 0.0000

Record 6
Below is a relaxed Ta2IrRu crystal, with properties calculated at the PBE-GGA level.

Values from the calculation:
V: 64.8 Å³/f.u.
D(E_F): 7.7 states/eV per cell
Raw total energy: -10.816 eV/atom
Crystal system: triclinic

Unit cell a=2.9696 b=4.7066 c=9.7318 alpha=105.23 beta=98.73 gamma=89.96
Positions (direct):
Ta1 0.8170 0.6550 0.6376
Ru1 0.5553 0.3144 0.1128
Ir1 0.3087 0.1639 0.6219
Ru2 0.4447 0.6855 0.8872
Ta2 0.1830 0.3449 0.3624
Ir2 0.6913 0.8361 0.3781
Ta3 0.9352 0.1873 0.8704
Ta4 0.0648 0.8127 0.1296

Record 7
Below is a relaxed LiZrNi2 crystal, with properties calculated at the PBE-GGA level.

Values from the calculation:
V: 64.3 Å³/f.u.
D(E_F): 3.0 states/eV per cell
Raw total energy: -5.430 eV/atom
Crystal system: trigonal

Unit cell a=7.4834 b=7.4834 c=7.4834 alpha=24.69 beta=24.69 gamma=24.69
Positions (direct):
Ni1 0.5004 0.5004 0.5004
Zr1 0.2500 0.2500 0.2500
Ni2 0.9996 0.9996 0.9996
Li1 0.7500 0.7500 0.7500

Record 8
Below is a relaxed TiZnN2F crystal, with properties calculated at the PBE-GGA level.

Values from the calculation:
V: 60.5 Å³/f.u.
D(E_F): 1.9 states/eV per cell
E_form (uncorrected): -0.512 eV per atom
Crystal system: tetragonal

Unit cell a=3.9611 b=3.9611 c=3.8575 alpha=90.00 beta=90.00 gamma=90.00
Positions (direct):
Ti1 0.0000 0.0000 0.0000
F1 0.0000 0.0000 0.5000
N1 0.0000 0.5000 0.0000
Zn1 0.5000 0.5000 0.5000
N2 0.5000 0.0000 0.0000

Record 9
Below is a relaxed Mg16Al12Ge crystal, with properties calculated at the PBE-GGA level.

Values from the calculation:
V: 579.4 Å³/f.u.
D(E_F): 10.1 states/eV per cell
Raw total energy: -2.608 eV/atom
Crystal system: trigonal

Unit cell a=9.0727 b=9.0727 c=9.0727 alpha=109.26 beta=109.26 gamma=109.26
Positions (direct):
Mg1 0.3176 0.5956 0.9981
Mg2 0.6832 0.6832 0.2842
Mg3 0.9981 0.3176 0.5956
Al1 0.0032 0.8165 0.6319
Mg4 0.3176 0.9981 0.5956
Al2 0.8165 0.0032 0.6319
Al3 0.8093 0.1857 0.1857
Mg5 0.2842 0.6832 0.6832
Al4 0.1694 0.3576 0.3576
Ge1 0.6918 0.6918 0.6918
Mg6 0.5956 0.9981 0.3176
Mg7 0.3468 0.9981 0.9981
Mg8 0.6832 0.2842 0.6832
Mg9 0.9981 0.3468 0.9981
Mg10 0.9981 0.5956 0.3176
Mg11 0.5956 0.3176 0.9981
Al5 0.3576 0.1694 0.3576
Mg12 0.0017 0.0017 0.0017
Al6 0.1857 0.1857 0.8093
Al7 0.8165 0.6319 0.0032
Mg13 0.4082 0.4082 0.7051
Mg14 0.9981 0.9981 0.3468
Al8 0.1857 0.8093 0.1857
Al9 0.0032 0.6319 0.8165
Mg15 0.4082 0.7051 0.4082
Al10 0.3576 0.3576 0.1694
Mg16 0.7051 0.4082 0.4082
Al11 0.6319 0.8165 0.0032
Al12 0.6319 0.0032 0.8165

Record 10
Below is a relaxed Na2CaCd3 crystal, with properties calculated at the PBE-GGA level.

Values from the calculation:
V: 162.3 Å³/f.u.
D(E_F): 3.7 states/eV per cell
Raw total energy: -1.381 eV/atom
Crystal system: tetragonal

Unit cell a=3.7451 b=3.7451 c=11.5698 alpha=90.00 beta=90.00 gamma=90.00
Positions (direct):
Cd1 0.0000 0.0000 0.3250
Na1 0.5000 0.5000 0.8359
Cd2 0.0000 0.0000 0.6750
Cd3 0.0000 0.0000 0.0000
Ca1 0.5000 0.5000 0.5000
Na2 0.5000 0.5000 0.1641

Record 11
Below is a relaxed Sr2Nb2Os crystal, with properties calculated at the PBE-GGA level.

Values from the calculation:
V: 120.9 Å³/f.u.
D(E_F): 2.8 states/eV per cell
Raw total energy: -5.465 eV/atom
Crystal system: tetragonal

Unit cell a=3.9563 b=3.9563 c=8.2174 alpha=76.07 beta=76.07 gamma=90.00
Positions (direct):
Sr1 0.7500 0.2500 0.5000
Os1 0.0000 0.0000 0.0000
Nb1 0.4277 0.4277 0.1447
Nb2 0.5723 0.5723 0.8553
Sr2 0.2500 0.7500 0.5000

Record 12
Below is a relaxed AcSmRuO6 crystal, with properties calculated at the PBE-GGA level.

Values from the calculation:
V: 143.7 Å³/f.u.
D(E_F): 11.7 states/eV per cell
E_form (uncorrected): -2.227 eV per atom
Crystal system: trigonal

Unit cell a=5.6607 b=5.6607 c=10.3547 alpha=90.00 beta=90.00 gamma=120.00
Positions (direct):
Sm1 0.3333 0.6667 0.2500
O1 0.0484 0.3849 0.6425
Ac1 0.0000 0.0000 0.5000
O2 0.6151 0.6636 0.6425
O3 0.3364 0.9516 0.6425
O4 0.6636 0.6151 0.1425
Ru1 0.3333 0.6667 0.7500
O5 0.6636 0.0484 0.3575
O6 0.9516 0.3364 0.1425
O7 0.9516 0.6151 0.3575
O8 0.3364 0.3849 0.8575
O9 0.6151 0.9516 0.8575
O10 0.3849 0.3364 0.3575
O11 0.3849 0.0484 0.1425
Ru2 0.6667 0.3333 0.2500
Ac2 0.0000 0.0000 0.0000
O12 0.0484 0.6636 0.8575
Sm2 0.6667 0.3333 0.7500

Record 13
Below is a relaxed Be2TcB2 crystal, with properties calculated at the PBE-GGA level.

Values from the calculation:
V: 43.3 Å³/f.u.
D(E_F): 5.5 states/eV per cell
Raw total energy: -6.191 eV/atom
Crystal system: tetragonal

Unit cell a=5.5460 b=5.5460 c=2.8176 alpha=90.00 beta=90.00 gamma=90.00
Positions (direct):
Be1 0.8228 0.3228 0.5000
Be2 0.1772 0.6772 0.5000
Tc1 0.0000 0.0000 0.0000
Tc2 0.5000 0.5000 0.0000
B1 0.3910 0.8910 0.0000
B2 0.8910 0.6090 0.0000
Be3 0.3228 0.1772 0.5000
B3 0.1090 0.3910 0.0000
Be4 0.6772 0.8228 0.5000
B4 0.6090 0.1090 0.0000

Record 14
Below is a relaxed ReOs4Se crystal, with properties calculated at the PBE-GGA level.

Values from the calculation:
V: 96.8 Å³/f.u.
D(E_F): 9.0 states/eV per cell
E_form (uncorrected): 1.175 eV per atom
Crystal system: cubic

Unit cell a=5.1537 b=5.1537 c=5.1537 alpha=60.00 beta=60.00 gamma=60.00
Positions (direct):
Se1 0.0000 0.0000 0.0000
Re1 0.7500 0.7500 0.7500
Os1 0.8735 0.3755 0.3755
Os2 0.3755 0.3755 0.3755
Os3 0.3755 0.8735 0.3755
Os4 0.3755 0.3755 0.8735

Record 15
Below is a relaxed RbGa3Hg crystal, with properties calculated at the PBE-GGA level.

Values from the calculation:
V: 255.3 Å³/f.u.
D(E_F): 5.5 states/eV per cell
Raw total energy: -1.010 eV/atom
Crystal system: cubic

Unit cell a=6.3437 b=6.3437 c=6.3437 alpha=90.00 beta=90.00 gamma=90.00
Positions (direct):
Rb1 0.0000 0.0000 0.0000
Ga1 0.0000 0.5000 0.0000
Ga2 0.5000 0.0000 0.0000
Hg1 0.5000 0.5000 0.5000
Ga3 0.0000 0.0000 0.5000

Record 16
Below is a relaxed Y7Sn2C2 crystal, with properties calculated at the PBE-GGA level.

Values from the calculation:
V: 271.0 Å³/f.u.
D(E_F): 6.7 states/eV per cell
Raw total energy: -6.794 eV/atom
Crystal system: orthorhombic

Unit cell a=3.5434 b=9.1745 c=9.1745 alpha=69.16 beta=78.87 gamma=78.87
Positions (direct):
Y1 0.1919 0.7261 0.8901
C1 0.2656 0.3246 0.1442
Y2 0.5000 0.0351 0.9649
Sn1 0.0000 0.7782 0.2218
Y3 0.6386 0.4677 0.2550
Y4 0.8081 0.1099 0.2739
Y5 0.8452 0.3790 0.9306
C2 0.7344 0.8558 0.6754
Sn2 0.5000 0.3631 0.6369
Y6 0.3614 0.7450 0.5323
Y7 0.1548 0.0694 0.6210

Record 17
Below is a relaxed CuSiTe2 crystal, with properties calculated at the PBE-GGA level.

Values from the calculation:
V: 88.6 Å³/f.u.
D(E_F): 1.9 states/eV per cell
E_form (uncorrected): 0.076 eV per atom
Crystal system: monoclinic

Unit cell a=3.9654 b=3.9654 c=6.9007 alpha=73.23 beta=73.23 gamma=59.98
Positions (direct):
Te1 0.9982 0.9982 0.0048
Te2 0.5018 0.5018 0.4952
Cu1 0.2500 0.2500 0.2500
Si1 0.7500 0.7500 0.7500

Record 18
Below is a relaxed Sc2In crystal, with properties calculated at the PBE-GGA level.

Values from the calculation:
V: 71.3 Å³/f.u.
D(E_F): 9.1 states/eV per cell
Raw total energy: -5.328 eV/atom
Crystal system: monoclinic

Unit cell a=6.0157 b=6.0157 c=7.5826 alpha=76.28 beta=76.28 gamma=32.43
Positions (direct):
In1 0.3275 0.3275 0.3381
Sc1 0.6570 0.6570 0.6795
Sc2 0.6192 0.6192 0.2732
Sc3 0.2873 0.2873 0.9398
In2 0.0058 0.0058 0.0045
Sc4 0.9366 0.9366 0.5981

Record 19
Below is a relaxed MgPt3Pb crystal, with properties calculated at the PBE-GGA level.

Values from the calculation:
V: 129.2 Å³/f.u.
D(E_F): 4.1 states/eV per cell
Raw total energy: -3.877 eV/atom
Crystal system: cubic

Unit cell a=5.0553 b=5.0553 c=5.0553 alpha=90.00 beta=90.00 gamma=90.00
Positions (direct):
Pb1 0.0000 0.0000 0.0000
Pt1 0.0000 0.0000 0.5000
Pt2 0.5000 0.0000 0.0000
Pt3 0.0000 0.5000 0.0000
Mg1 0.5000 0.5000 0.5000

Record 20
Below is a relaxed TbZnAgF6 crystal, with properties calculated at the PBE-GGA level.

Values from the calculation:
V: 144.1 Å³/f.u.
D(E_F): 0.0 states/eV per cell
E_form (uncorrected): -2.763 eV per atom
Crystal system: trigonal

Unit cell a=5.7876 b=5.7876 c=9.9357 alpha=90.00 beta=90.00 gamma=120.00
Positions (direct):
Ag1 0.0000 0.0000 0.5000
Zn1 0.3333 0.6667 0.7500
Tb1 0.6667 0.3333 0.7500
F1 0.6420 0.0180 0.3613
F2 0.0180 0.6420 0.8613
F3 0.3761 0.0180 0.1387
F4 0.3580 0.9820 0.6387
F5 0.6239 0.9820 0.8613
F6 0.0180 0.3761 0.6387
F7 0.3580 0.3761 0.8613
F8 0.6420 0.6239 0.1387
F9 0.6239 0.6420 0.6387
F10 0.3761 0.3580 0.3613
Zn2 0.6667 0.3333 0.2500
Tb2 0.3333 0.6667 0.2500
Ag2 0.0000 0.0000 0.0000
F11 0.9820 0.3580 0.1387
F12 0.9820 0.6239 0.3613

Record 21
Below is a relaxed MgIn2Tc crystal, with properties calculated at the PBE-GGA level.

Values from the calculation:
V: 81.4 Å³/f.u.
D(E_F): 3.5 states/eV per cell
Raw total energy: -4.124 eV/atom
Crystal system: trigonal

Unit cell a=9.4878 b=9.4878 c=9.4878 alpha=19.28 beta=19.28 gamma=19.28
Positions (direct):
Tc1 0.7500 0.7500 0.7500
Mg1 0.2500 0.2500 0.2500
In1 0.0062 0.0062 0.0062
In2 0.4938 0.4938 0.4938

Record 22
Below is a relaxed CeNbN2 crystal, with properties calculated at the PBE-GGA level.

Values from the calculation:
V: 52.1 Å³/f.u.
D(E_F): 2.9 states/eV per cell
E_form (uncorrected): -1.149 eV per atom
Crystal system: trigonal

Unit cell a=3.1574 b=3.1574 c=6.3089 alpha=75.51 beta=75.51 gamma=60.00
Positions (direct):
N1 0.0946 0.0946 0.7163
Ce1 0.6707 0.6707 0.9879
N2 0.2370 0.2370 0.2891
Nb1 0.4978 0.4978 0.5067

no.,M_tot (μB per formula unit)
1,0.00
2,0.00
3,0.23
4,0.00
5,0.19
6,0.00
7,0.00
8,0.00
9,0.00
10,0.00
11,0.00
12,2.00
13,0.00
14,0.00
15,1.96
16,0.64
17,0.00
18,0.44
19,0.00
20,0.09
21,0.86
22,0.79